<i>
Density functional theory data (GGA-PBE) for a relaxed structure of Er4Tl5Hg. Values from VASP.

The structure in Quantum ESPRESSO input format:
```
&SYSTEM
  ibrav = 0, nat = 20, ntyp = 3
/
ATOMIC_SPECIES
Er 167.26 Er.upf
Tl 204.38 Tl.upf
Hg 200.59 Hg.upf
ATOMIC_POSITIONS crystal
Er 0.002 0.250 0.211
Er 0.250 0.062 0.530
Er 0.250 0.438 0.530
Er 0.498 0.250 0.211
Er 0.502 0.750 0.789
Er 0.750 0.562 0.470
Er 0.750 0.938 0.470
Er 0.998 0.750 0.789
Tl 0.057 0.564 0.187
Tl 0.057 0.936 0.187
Tl 0.250 0.250 0.900
Tl 0.443 0.564 0.187
Tl 0.443 0.936 0.187
Tl 0.557 0.064 0.813
Tl 0.557 0.436 0.813
Tl 0.750 0.750 0.100
Tl 0.943 0.064 0.813
Tl 0.943 0.436 0.813
Hg 0.250 0.750 0.490
Hg 0.750 0.250 0.510
CELL_PARAMETERS angstrom
7.902 0.000 0.000
0.000 9.977 0.000
0.000 0.000 7.526
```

Summary:
**Space-group type**: Pmmn, No. 59
**Calculated volume**: 593.4 Å³/cell



<ii>
Density functional theory data (GGA-PBE) for a relaxed structure of Er4Tl5Hg. Values from VASP.

The structure in Quantum ESPRESSO input format:
```
&SYSTEM
  ibrav = 0, nat = 10, ntyp = 3
/
ATOMIC_SPECIES
Er 167.26 Er.upf
Tl 204.38 Tl.upf
Hg 200.59 Hg.upf
ATOMIC_POSITIONS crystal
Er 0.086 0.086 0.337
Er 0.302 0.302 0.883
Er 0.698 0.698 0.117
Er 0.914 0.914 0.663
Tl 0.107 0.107 0.849
Tl 0.295 0.295 0.387
Tl 0.500 0.500 0.500
Tl 0.705 0.705 0.613
Tl 0.893 0.893 0.151
Hg 0.500 0.500 0.000
CELL_PARAMETERS angstrom
8.681 -2.503 0.000
8.681 2.503 0.000
-2.065 0.000 6.127
```

Summary:
**Space-group type**: C2/m, No. 12
**Calculated volume**: 266.2 Å³/cell



Going by the energies, <ii> is most stable and the next is 248 meV per atom up.